(1)
The following is a GGA-PBE calculation of an optimized crystal structure of La6Pr2Dy, from Alexandria via LeMat-Bulk.

extended XYZ file:
```
9
Lattice="3.691 0.000 0.000 -1.845 3.196 0.000 0.000 0.000 27.781" Properties=species:S:1:pos:R:3 pbc="T T T"
La 1.845 1.065 24.863
La 0.000 2.131 12.185
La 0.000 2.131 21.729
La 0.000 2.131 6.051
La 0.000 2.131 15.595
La 1.845 1.065 2.918
Pr 1.845 1.065 9.170
Pr 1.845 1.065 18.611
Dy 0.000 2.131 0.000
```

As for the formation energy: 0.06 eV/atom. As for the total energy: -43.23 eV for the cell shown. The calculation puts the energy above the most stable polymorph in this dataset at 0 meV per atom.

---

(2)
The following is a GGA-PBE calculation of an optimized crystal structure of La4Pr8Dy, from Alexandria via LeMat-Bulk.

extended XYZ file:
```
13
Lattice="10.533 -0.001 -5.683 -6.799 9.850 -0.001 -2.968 -2.048 7.102" Properties=species:S:1:pos:R:3 pbc="T T T"
La 0.000 0.000 0.000
La -6.368 2.876 7.102
La 1.867 4.924 -2.842
La 5.267 0.000 -2.842
Pr -0.525 6.909 -0.973
Pr 1.291 0.891 2.392
Pr -0.613 -0.423 5.213
Pr -0.502 3.261 -0.931
Pr 1.379 8.224 -3.795
Pr -3.928 8.224 -0.931
Pr 4.694 -0.424 2.350
Pr 1.268 4.539 2.350
Dy -4.884 3.901 3.551
```

As for the formation energy: 0.35 eV/atom. As for the total energy: -57.95 eV for the cell shown.

---

(3)
The following is a GGA-PBE calculation of an optimized crystal structure of La3Pr5Dy3, from Alexandria via LeMat-Bulk.

extended XYZ file:
```
11
Lattice="-2.369 -2.772 -0.182 7.729 -2.343 8.289 -8.768 7.355 2.090" Properties=species:S:1:pos:R:3 pbc="T T T"
La -6.285 2.593 5.671
La -7.992 1.949 1.161
La 0.498 1.643 5.090
Pr 1.484 -1.671 5.986
Pr -3.234 2.519 3.817
Pr 1.493 -1.444 2.627
Pr -2.539 1.702 7.007
Pr -4.315 1.240 0.656
Dy 4.007 -3.867 6.751
Dy -1.006 0.732 1.916
Dy -9.247 5.378 1.831
```

As for the formation energy: 0.10 eV/atom. As for the total energy: -51.39 eV for the cell shown.

---

Question: What is the total energy in the second record?
Answer: -57.95 eV for the cell shown

---

Question: Which value of total energy does entry 2 give?
Answer: -57.95 eV for the cell shown

---

Please write out number 3 again, unchanged.
The following is a GGA-PBE calculation of an optimized crystal structure of La3Pr5Dy3, from Alexandria via LeMat-Bulk.

extended XYZ file:
```
11
Lattice="-2.369 -2.772 -0.182 7.729 -2.343 8.289 -8.768 7.355 2.090" Properties=species:S:1:pos:R:3 pbc="T T T"
La -6.285 2.593 5.671
La -7.992 1.949 1.161
La 0.498 1.643 5.090
Pr 1.484 -1.671 5.986
Pr -3.234 2.519 3.817
Pr 1.493 -1.444 2.627
Pr -2.539 1.702 7.007
Pr -4.315 1.240 0.656
Dy 4.007 -3.867 6.751
Dy -1.006 0.732 1.916
Dy -9.247 5.378 1.831
```

As for the formation energy: 0.10 eV/atom. As for the total energy: -51.39 eV for the cell shown.